16
Lattice="8.4292 0.0000 0.0000 0.0000 9.5146 0.0000 -2.6336 0.0000 7.4744" Properties=species:S:1:pos:R:3 comment="UTl3Te4, optimized geometry, DFT GGA-PBE" total_magnetization_mub_per_fu=1.0 polymorph_energy_ev_per_fu=0.00 volume_a3_per_cell=599.4 final_energy_ev_per_atom=-4.315 pbc="T T T"
U -0.6584 1.1200 1.8686
U -1.9752 8.3946 5.6058
Tl -1.9752 3.6937 5.6058
Tl -0.6584 5.8209 1.8686
Tl 2.2394 1.1502 5.6058
Tl 3.5562 3.7461 1.8686
Tl 2.2394 5.7686 5.6058
Tl 3.5562 8.3644 1.8686
Te -0.8851 1.0363 7.4713
Te 0.4317 8.4783 3.7341
Te 0.6603 3.1916 3.4812
Te -0.6565 6.3230 7.2184
Te 6.4521 3.1916 0.2560
Te 5.1353 6.3230 3.9932
Te 5.3639 1.0363 3.7403
Te 6.6807 8.4783 0.0031